Entry 1:
A geometry-optimized Cd2In2Au7 structure. Source: Alexandria via LeMat-Bulk, functional PBE.

It has space group C2/m (No. 12), with a = 9.3740 Å, b = 9.9948 Å, c = 5.4541 Å, α = 90.00°, β = 118.78° and γ = 90.00°. The distinct sites, in fractional coordinates, are Cd at (0.0000, 0.1687, 0.0000), In at (0.1321, 0.5000, 0.3740), Au at (0.0000, 0.0000, 0.5000), Au at (0.1741, 0.2440, 0.6759) and Au at (0.2189, 0.5000, 0.9458).

The polymorph energy (0 for the lowest one) is 0.00 eV/f.u. The calculation puts the formation energy at -0.138 eV/atom. Its crystal system is monoclinic. Its energy is -2.89 eV/atom.



Entry 2:
A geometry-optimized Cs2GaCl2F4 structure. Source: Alexandria via LeMat-Bulk, functional PBE.

It has space group I4/mmm (No. 139), with a = 7.2280 Å, b = 7.2280 Å, c = 7.9679 Å, α = 90.00°, β = 90.00° and γ = 90.00°. The distinct sites, in fractional coordinates, are Cs at (0.0000, 0.5000, 0.2500), Ga at (0.0000, 0.0000, 0.0000), Cl at (0.0000, 0.0000, 0.3386) and F at (0.1818, 0.1818, 0.0000).

As for the uncorrected formation energy: -2133.0 meV/atom. Its crystal system is tetragonal. Its energy is -3.90 eV/atom.



Entry 3:
A geometry-optimized Cr2NiSe structure. Source: Alexandria via LeMat-Bulk, functional PBE.

It has space group F-43m (No. 216), with a = 6.0177 Å, b = 6.0177 Å, c = 6.0177 Å, α = 90.00°, β = 90.00° and γ = 90.00°. The distinct sites, in fractional coordinates, are Cr at (0.0000, 0.0000, 0.0000), Cr at (0.2500, 0.2500, 0.2500), Ni at (0.2500, 0.2500, 0.7500) and Se at (0.0000, 0.0000, 0.5000).

As for the uncorrected formation energy: 321.6 meV/atom. Its crystal system is cubic. Its energy is -6.81 eV/atom.



Entry 4:
A geometry-optimized CaHI2 structure. Source: Alexandria via LeMat-Bulk, functional PBE.

It has space group Cmcm (No. 63), with a = 4.5158 Å, b = 21.5481 Å, c = 6.3151 Å, α = 90.00°, β = 90.00° and γ = 90.00°. The distinct sites, in fractional coordinates, are Ca at (0.0000, 0.1782, 0.2500), H at (0.0000, 0.0473, 0.7500), I at (0.0000, 0.2114, 0.7500) and I at (0.0000, 0.4142, 0.7500).

Its crystal system is orthorhombic. Its energy is -2.72 eV/atom.



Entry 5:
A geometry-optimized KCdHgO2 structure. Source: Alexandria via LeMat-Bulk, functional PBE.

It has space group P4/mmm (No. 123), with a = 4.4245 Å, b = 4.4245 Å, c = 6.0206 Å, α = 90.00°, β = 90.00° and γ = 90.00°. The distinct sites, in fractional coordinates, are K at (0.0000, 0.0000, 0.0000), Cd at (0.0000, 0.0000, 0.5000), Hg at (0.5000, 0.5000, 0.0000) and O at (0.0000, 0.5000, 0.5000).

As for the uncorrected formation energy: -81.7 meV/atom. The polymorph energy (0 for the lowest one) is 3.17 eV/f.u. Its crystal system is tetragonal. Its energy is -2.53 eV/atom.



Entry 6:
A geometry-optimized KCoPt2 structure. Source: Alexandria via LeMat-Bulk, functional PBE.

It has space group Pmmm (No. 47), with a = 2.7640 Å, b = 5.0084 Å, c = 5.0271 Å, α = 90.00°, β = 90.00° and γ = 90.00°. The distinct sites, in fractional coordinates, are K at (0.0000, 0.0000, 0.0000), Co at (0.5000, 0.0000, 0.5000), Pt at (0.0000, 0.5000, 0.5000) and Pt at (0.5000, 0.5000, 0.0000).

The polymorph energy (0 for the lowest one) is 1.82 eV/f.u. The calculation puts the formation energy at 0.559 eV/atom. Its crystal system is orthorhombic. Its energy is -4.51 eV/atom.



Entry 7:
A geometry-optimized K3Bi3Pb2 structure. Source: Alexandria via LeMat-Bulk, functional PBE.

It has space group Pnma (No. 62), with a = 10.6276 Å, b = 17.3872 Å, c = 7.1823 Å, α = 90.00°, β = 90.00° and γ = 90.00°. The distinct sites, in fractional coordinates, are K at (0.0233, 0.1120, 0.1283), K at (0.1466, 0.2500, 0.5794), Bi at (0.1350, 0.0430, 0.6021), Bi at (0.1991, 0.7500, 0.6100) and Pb at (0.1461, 0.6072, 0.3572).

The polymorph energy (0 for the lowest one) is 0.55 eV/f.u. The calculation puts the formation energy at -0.217 eV/atom. Its crystal system is orthorhombic. Its energy is -3.01 eV/atom.



Entry 8:
A geometry-optimized Pm2MgGa4Au3 structure. Source: Alexandria via LeMat-Bulk, functional PBE.

It has space group P-4m2 (No. 115), with a = 4.2896 Å, b = 4.2896 Å, c = 11.2978 Å, α = 90.00°, β = 90.00° and γ = 90.00°. The distinct sites, in fractional coordinates, are Pm at (0.0000, 0.5000, 0.2463), Mg at (0.0000, 0.0000, 0.5000), Ga at (0.0000, 0.0000, 0.0000), Ga at (0.0000, 0.5000, 0.6442), Ga at (0.5000, 0.5000, 0.0000), Au at (0.0000, 0.5000, 0.8670) and Au at (0.5000, 0.5000, 0.5000).

The calculation puts the formation energy at -0.618 eV/atom. Its crystal system is tetragonal. Its energy is -3.92 eV/atom.